Record 1
DFT (PBE) results for Zr2RhF after structural relaxation.

Cell lengths 5.2132, 5.2132, 7.0917 Å; angles 68.44, 68.44, 90.00 degrees
Fractional positions:
Rh1 0.0000 0.0000 0.0000
Rh2 0.7500 0.2500 0.5000
Zr1 0.5746 0.1250 0.2500
Zr2 0.1754 0.6250 0.2500
Zr3 0.3750 0.4254 0.7500
Zr4 0.8750 0.8246 0.7500
F1 0.2500 0.7500 0.5000
F2 0.5000 0.5000 0.0000

Calculated values
As for the uncorrected formation energy: -0.858 eV per atom. For the volume, the calculation gives 20.6 Å³/atom. The calculation puts the excess energy over the best structure of this formula in the dataset at 66 meV/atom. As for the symmetry: I-42d (122). The total energy is -7.4381 eV/atom.

***

Record 2
DFT (PBE) results for TmCu6Pd after structural relaxation.

Cell lengths 4.8687, 4.8687, 4.8687 Å; angles 90.00, 90.00, 90.00 degrees
Fractional positions:
Cu1 0.5000 0.7433 0.0000
Cu2 0.2567 0.0000 0.5000
Cu3 0.5000 0.2567 0.0000
Cu4 0.0000 0.5000 0.7433
Cu5 0.7433 0.0000 0.5000
Cu6 0.0000 0.5000 0.2567
Pd1 0.5000 0.5000 0.5000
Tm1 0.0000 0.0000 0.0000

Calculated values
For the volume, the calculation gives 14.4 Å³/atom. As for the symmetry: Pm-3 (200). As for the energy of formation from the pure elements: -27 meV per atom. The total energy is -4.3075 eV/atom.

***

Repeat the second record exactly.
DFT (PBE) results for TmCu6Pd after structural relaxation.

Cell lengths 4.8687, 4.8687, 4.8687 Å; angles 90.00, 90.00, 90.00 degrees
Fractional positions:
Cu1 0.5000 0.7433 0.0000
Cu2 0.2567 0.0000 0.5000
Cu3 0.5000 0.2567 0.0000
Cu4 0.0000 0.5000 0.7433
Cu5 0.7433 0.0000 0.5000
Cu6 0.0000 0.5000 0.2567
Pd1 0.5000 0.5000 0.5000
Tm1 0.0000 0.0000 0.0000

Calculated values
For the volume, the calculation gives 14.4 Å³/atom. As for the symmetry: Pm-3 (200). As for the energy of formation from the pure elements: -27 meV per atom. The total energy is -4.3075 eV/atom.